Record 1
# Ba2Mg12Zn3Ga

An optimized crystal structure of Ba2Mg12Zn3Ga (PBE, Alexandria via LeMat-Bulk).

CIF file:
```
data_Ba2Mg12Zn3Ga
_chemical_formula_sum 'Ba6 Mg36 Zn9 Ga3'
_symmetry_space_group_name_H-M 'R -3 m'
_symmetry_Int_Tables_number 166
_symmetry_space_group_name_Hall '-R 3 2"'
_cell_length_a 7.3955
_cell_length_b 7.3955
_cell_length_c 31.5025
_cell_angle_alpha 90.00
_cell_angle_beta 90.00
_cell_angle_gamma 120.00
loop_
_atom_site_label
_atom_site_type_symbol
_atom_site_fract_x
_atom_site_fract_y
_atom_site_fract_z
Ba1 Ba 0.0000 0.0000 0.1472
Mg1 Mg 0.0485 0.5243 0.0957
Mg2 Mg 0.0619 0.5310 0.6232
Zn1 Zn 0.0000 0.5000 0.0000
Ga1 Ga 0.0000 0.0000 0.5000
```

DFT formation energy: 1.648 eV/f.u.
density of states at the Fermi level: 0.593 states/eV/atom
calculated total energy: -84.5 eV per cell

Record 2
# TcAs4Pt

An optimized crystal structure of TcAs4Pt (PBE, Alexandria via LeMat-Bulk).

CIF file:
```
data_TcAs4Pt
_chemical_formula_sum 'Tc4 As16 Pt4'
_symmetry_space_group_name_H-M 'F -4 3 m'
_symmetry_Int_Tables_number 216
_symmetry_space_group_name_Hall 'F -4 2 3'
_cell_length_a 7.5351
_cell_length_b 7.5351
_cell_length_c 7.5351
_cell_angle_alpha 90.00
_cell_angle_beta 90.00
_cell_angle_gamma 90.00
loop_
_atom_site_label
_atom_site_type_symbol
_atom_site_fract_x
_atom_site_fract_y
_atom_site_fract_z
Tc1 Tc 0.0000 0.0000 0.0000
As1 As 0.1254 0.1254 0.6254
Pt1 Pt 0.2500 0.2500 0.2500
```

DFT formation energy: 4.829 eV/f.u.
density of states at the Fermi level: 0.516 states/eV/atom
calculated total energy: -120.7 eV per cell

Record 3
# LiDyNbTc

An optimized crystal structure of LiDyNbTc (PBE, Alexandria via LeMat-Bulk).

CIF file:
```
data_LiDyNbTc
_chemical_formula_sum 'Li4 Dy4 Nb4 Tc4'
_symmetry_space_group_name_H-M 'F -4 3 m'
_symmetry_Int_Tables_number 216
_symmetry_space_group_name_Hall 'F -4 2 3'
_cell_length_a 6.6294
_cell_length_b 6.6294
_cell_length_c 6.6294
_cell_angle_alpha 90.00
_cell_angle_beta 90.00
_cell_angle_gamma 90.00
loop_
_atom_site_label
_atom_site_type_symbol
_atom_site_fract_x
_atom_site_fract_y
_atom_site_fract_z
Li1 Li 0.0000 0.0000 0.0000
Dy1 Dy 0.2500 0.2500 0.2500
Nb1 Nb 0.2500 0.2500 0.7500
Tc1 Tc 0.0000 0.0000 0.5000
```

DFT formation energy: 0.273 eV/f.u.
density of states at the Fermi level: 1.253 states/eV/atom
calculated total energy: -106.7 eV per cell

Record 4
# Pm4AgTe3

An optimized crystal structure of Pm4AgTe3 (PBE, Alexandria via LeMat-Bulk).

CIF file:
```
data_Pm4AgTe3
_chemical_formula_sum 'Pm8 Ag2 Te6'
_symmetry_space_group_name_H-M 'C m m m'
_symmetry_Int_Tables_number 65
_symmetry_space_group_name_Hall '-C 2 2'
_cell_length_a 9.0218
_cell_length_b 12.5661
_cell_length_c 4.3586
_cell_angle_alpha 90.00
_cell_angle_beta 90.00
_cell_angle_gamma 90.00
loop_
_atom_site_label
_atom_site_type_symbol
_atom_site_fract_x
_atom_site_fract_y
_atom_site_fract_z
Pm1 Pm 0.0000 0.2476 0.0000
Pm2 Pm 0.2408 0.0000 0.5000
Ag1 Ag 0.0000 0.0000 0.0000
Te1 Te 0.0000 0.5000 0.0000
Te2 Te 0.2500 0.2500 0.5000
```

formation energy from raw total energies: -1110 meV per atom
density of states at the Fermi level: 0.746 states/eV/atom
calculated total energy: -80.3 eV per cell